The following is a DFT calculation (PBE) of an optimized crystal structure of DyY2Pb3. Values from VASP.

Values from the calculation:
ΔH_f (0 K) in eV per atom: -0.521
Density of states at the Fermi level in states/eV per cell: 5.10
SG: C2/c (15)

Cell and atoms, written as Quantum ESPRESSO input:
```
&SYSTEM
  ibrav = 0, nat = 12, ntyp = 3
/
ATOMIC_SPECIES
Dy 162.50 Dy.upf
Y 88.91 Y.upf
Pb 207.20 Pb.upf
ATOMIC_POSITIONS angstrom
Dy 7.563 2.406 4.722
Dy 8.171 -2.406 1.574
Y 4.537 0.802 5.769
Y 5.145 -0.802 2.621
Y 10.590 0.802 3.676
Y 11.198 -0.802 0.528
Pb 2.112 0.798 3.672
Pb 2.720 -0.798 0.524
Pb 8.171 0.797 1.574
Pb 7.563 -0.797 4.722
Pb 13.014 0.798 5.773
Pb 13.622 -0.798 2.625
CELL_PARAMETERS angstrom
8.475 -3.204 0.000
8.475 3.204 0.000
-1.216 0.000 6.296
```

---

The following is a DFT calculation (PBE) of an optimized crystal structure of Pm2Nd3DyY6. Values from VASP.

Values from the calculation:
ΔH_f (0 K) in eV per atom: 0.012
Density of states at the Fermi level in states/eV per cell: 15.05
SG: C2/m (12)

Cell and atoms, written as Quantum ESPRESSO input:
```
&SYSTEM
  ibrav = 0, nat = 12, ntyp = 4
/
ATOMIC_SPECIES
Pm 145.00 Pm.upf
Nd 144.24 Nd.upf
Dy 162.50 Dy.upf
Y 88.91 Y.upf
ATOMIC_POSITIONS angstrom
Pm 3.131 3.616 0.000
Pm 3.131 -3.616 0.000
Nd -1.039 0.000 5.853
Nd 2.092 1.807 5.853
Nd 2.092 -1.807 5.853
Dy 3.131 0.000 0.000
Y 0.009 1.805 8.798
Y 1.049 0.000 2.910
Y 0.009 -1.805 8.798
Y 4.176 1.805 2.908
Y 3.136 0.000 8.795
Y 4.176 -1.805 2.908
CELL_PARAMETERS angstrom
3.131 -5.422 0.000
3.131 5.422 0.000
-2.078 0.000 11.705
```

---

The following is a DFT calculation (PBE) of an optimized crystal structure of LaCe2Zn9. Values from VASP.

Values from the calculation:
ΔH_f (0 K) in eV per atom: -0.280
Density of states at the Fermi level in states/eV per cell: 14.02
SG: R-3m (166)

Cell and atoms, written as Quantum ESPRESSO input:
```
&SYSTEM
  ibrav = 0, nat = 12, ntyp = 3
/
ATOMIC_SPECIES
La 138.91 La.upf
Ce 140.12 Ce.upf
Zn 65.41 Zn.upf
ATOMIC_POSITIONS angstrom
La 0.000 0.000 0.000
Ce 0.000 0.000 3.935
Ce 0.000 0.000 22.609
Zn -1.384 -0.799 11.018
Zn 0.000 0.000 8.904
Zn 0.000 -1.598 15.526
Zn -1.384 0.799 15.526
Zn 0.000 0.000 13.272
Zn 1.384 -0.799 11.018
Zn 0.000 1.598 11.018
Zn 0.000 0.000 17.640
Zn 1.384 0.799 15.526
CELL_PARAMETERS angstrom
2.734 1.579 8.848
-2.734 1.579 8.848
0.000 -3.157 8.848
```

---

The following is a DFT calculation (PBE) of an optimized crystal structure of Tl3InHg3. Values from VASP.

Values from the calculation:
ΔH_f (0 K) in eV per atom: 0.020
Density of states at the Fermi level in states/eV per cell: 4.28
SG: C2/m (12)

Cell and atoms, written as Quantum ESPRESSO input:
```
&SYSTEM
  ibrav = 0, nat = 14, ntyp = 3
/
ATOMIC_SPECIES
Tl 204.38 Tl.upf
In 114.82 In.upf
Hg 200.59 Hg.upf
ATOMIC_POSITIONS angstrom
Tl 4.941 3.119 0.000
Tl 2.314 0.000 4.342
Tl 4.936 2.519 4.356
Tl 4.936 -2.519 4.356
Tl 7.559 0.000 4.370
Tl 4.941 -3.119 0.000
In 2.905 0.000 0.011
In 6.967 0.000 8.702
Hg 2.462 2.429 6.632
Hg 2.462 -2.429 6.632
Hg 4.925 0.000 6.438
Hg 4.947 0.000 2.274
Hg 7.410 2.429 2.081
Hg 7.410 -2.429 2.081
CELL_PARAMETERS angstrom
4.941 -4.877 0.000
4.941 4.877 0.000
-0.010 0.000 8.713
```